Record 1
Below is crystalline Ir2Pt2Rh15 at its relaxed geometry, with properties calculated at the PBE level.

The structure in POSCAR format:
```
Ir2Pt2Rh15
1.0
6.617 -0.205 1.313
1.038 6.538 1.313
-0.248 -0.205 6.741
Ir Pt Rh
2 2 15
Cartesian
6.736 5.573 8.518
0.670 0.555 0.848
5.168 4.275 6.535
2.239 1.853 2.831
0.519 3.269 0.656
-0.124 -0.102 3.370
3.308 -0.102 0.656
2.138 -0.205 4.854
4.678 2.139 1.313
0.591 4.194 3.199
2.977 4.194 1.313
0.199 2.139 4.854
4.231 -0.205 3.199
2.939 5.226 3.716
2.306 1.908 6.387
5.684 1.908 3.716
4.468 0.902 5.650
5.101 4.220 2.979
1.723 4.220 5.650
```

Summary:
Symmetry: R-3m (166)
Magnetization in μB/f.u.: 0.0
Energy of formation from the pure elements in eV per atom: 0.404

Record 2
Below is crystalline Ir4PtRh at its relaxed geometry, with properties calculated at the PBE level.

The structure in POSCAR format:
```
Ir4PtRh
1.0
-6.126 2.883 -5.470
-2.312 -4.361 -1.547
1.496 2.895 6.434
Ir Pt Rh
8 2 2
Cartesian
-3.503 -0.002 -1.454
-3.865 4.092 0.326
-1.591 -1.143 3.180
-6.352 0.053 -3.892
-3.439 1.419 0.871
-5.352 2.561 -3.763
-3.078 -2.674 -0.909
-0.590 1.365 3.309
-5.194 2.236 -1.112
-1.749 -0.819 0.529
-2.208 3.297 2.365
-4.735 -1.879 -2.948
```

Summary:
Energy above the lowest structure with this stoichiometry in meV per atom: 0
Symmetry: P-1 (2)
Magnetization in μB/f.u.: 0.0
Energy of formation from the pure elements in eV per atom: 0.162

Record 3
Below is crystalline IrPt2Rh at its relaxed geometry, with properties calculated at the PBE level.

The structure in POSCAR format:
```
IrPt2Rh
1.0
-2.151 2.337 2.300
-1.765 -1.465 3.181
2.992 1.397 4.721
Ir Pt Rh
1 2 1
Cartesian
-2.594 0.585 3.665
1.936 1.125 4.010
-0.281 0.554 2.517
-0.446 1.138 5.112
```

Summary:
Energy above the lowest structure with this stoichiometry in meV per atom: 582
Symmetry: R3m (160)
Magnetization in μB/f.u.: 0.0
Energy of formation from the pure elements in eV per atom: 0.559